[1]
A plane-wave DFT calculation with SCAN was carried out for AsPAu2 at its PBEsol-relaxed geometry.

a b c (Å): 2.7606 2.7606 8.9795
angles (deg): 90.00 90.00 90.00
Space group P4/mmm (No. 123)
Inequivalent atoms, fractional coordinates:
As: 0.0000 0.0000 0.0000 (multiplicity 1)
P: 0.0000 0.0000 0.5000 (multiplicity 1)
Au: 0.5000 0.5000 0.2619 (multiplicity 2)

Computed properties:
**Excess energy over the best structure of this formula in the dataset**: 0.016 eV/atom

[2]
A plane-wave DFT calculation with SCAN was carried out for ZnSbTe2Ir at its PBEsol-relaxed geometry.

a b c (Å): 5.3692 5.3692 4.9004
angles (deg): 90.00 90.00 90.00
Space group P4/mmm (No. 123)
Inequivalent atoms, fractional coordinates:
Zn: 0.0000 0.0000 0.0000 (multiplicity 1)
Sb: 0.5000 0.5000 0.0000 (multiplicity 1)
Te: 0.0000 0.5000 0.5000 (multiplicity 2)
Ir: 0.5000 0.5000 0.5000 (multiplicity 1)

Computed properties:
**Electronic total energy**: -38.67 eV per atom

[3]
A plane-wave DFT calculation with SCAN was carried out for Zn2PSe at its PBEsol-relaxed geometry.

a b c (Å): 6.4033 6.4033 6.4033
angles (deg): 90.00 90.00 90.00
Space group F-43m (No. 216)
Inequivalent atoms, fractional coordinates:
Zn: 0.0000 0.0000 0.0000 (multiplicity 4)
Zn: 0.2500 0.2500 0.2500 (multiplicity 4)
P: 0.2500 0.2500 0.7500 (multiplicity 4)
Se: 0.0000 0.0000 0.5000 (multiplicity 4)

Computed properties:
**Electronic total energy**: -13.85 eV per atom

[4]
A plane-wave DFT calculation with SCAN was carried out for TaZnTe2 at its PBEsol-relaxed geometry.

a b c (Å): 3.5491 5.2560 9.8891
angles (deg): 90.00 90.00 90.00
Space group Cmmm (No. 65)
Inequivalent atoms, fractional coordinates:
Ta: 0.0000 0.0000 0.0000 (multiplicity 2)
Zn: 0.0000 0.0000 0.5000 (multiplicity 2)
Te: 0.0000 0.5000 0.2200 (multiplicity 4)

Computed properties:
**Electronic total energy**: -38.29 eV per atom